[1]
This record from Alexandria describes a relaxed structure of Pm3Dy6Tm2Pu. The functional is PBE.

a b c (Å): 6.146 6.146 11.724
angles (deg): 95.02 95.02 120.01
Fractional coordinates of all 12 atoms:
1 Dy 0.082 0.411 0.244
2 Dy 0.411 0.082 0.244
3 Dy 0.752 0.752 0.244
4 Dy 0.589 0.918 0.756
5 Dy 0.248 0.248 0.756
6 Dy 0.918 0.589 0.756
7 Pm 0.500 0.500 0.500
8 Pm 0.167 0.833 0.500
9 Pm 0.833 0.167 0.500
10 Tm 0.333 0.667 0.000
11 Tm 0.667 0.333 0.000
12 Pu 0.000 0.000 0.000

Properties
N(E_F) ... 23.2 states/eV/f.u.
Magnetic moment ... 0.5481 μB per atom



[2]
This record from Alexandria describes a relaxed structure of PmDyTmPu. The functional is PBE.

a b c (Å): 5.604 5.604 5.604
angles (deg): 60.00 60.00 60.00
Fractional coordinates of all 4 atoms:
1 Pm 0.000 0.000 0.000
2 Tm 0.250 0.250 0.250
3 Dy 0.750 0.750 0.750
4 Pu 0.500 0.500 0.500

Properties
N(E_F) ... 11.4 states/eV/f.u.
Magnetic moment ... 1.6022 μB per atom



[3]
This record from Alexandria describes a relaxed structure of PmDyYPu. The functional is PBE.

a b c (Å): 5.634 5.634 5.634
angles (deg): 60.00 60.00 60.00
Fractional coordinates of all 4 atoms:
1 Pu 0.750 0.750 0.750
2 Dy 0.500 0.500 0.500
3 Pm 0.000 0.000 0.000
4 Y 0.250 0.250 0.250

Properties
N(E_F) ... 11.3 states/eV/f.u.
Magnetic moment ... 1.8631 μB per atom



[4]
This record from Alexandria describes a relaxed structure of Pm3Dy2Y6Pu. The functional is PBE.

a b c (Å): 6.194 6.194 11.781
angles (deg): 95.03 95.03 120.02
Fractional coordinates of all 12 atoms:
1 Y 0.752 0.752 0.246
2 Y 0.918 0.589 0.754
3 Y 0.589 0.918 0.754
4 Y 0.082 0.411 0.246
5 Y 0.411 0.082 0.246
6 Y 0.248 0.248 0.754
7 Pm 0.167 0.833 0.500
8 Pm 0.500 0.500 0.500
9 Pm 0.833 0.167 0.500
10 Dy 0.667 0.333 0.000
11 Dy 0.333 0.667 0.000
12 Pu 0.000 0.000 0.000

Properties
N(E_F) ... 23.6 states/eV/f.u.
Magnetic moment ... 0.5452 μB per atom



[5]
This record from Alexandria describes a relaxed structure of Pm6Dy2Y3Pu. The functional is PBE.

a b c (Å): 6.242 6.242 11.816
angles (deg): 95.06 95.06 120.02
Fractional coordinates of all 12 atoms:
1 Pm 0.918 0.588 0.753
2 Pm 0.082 0.412 0.247
3 Pm 0.753 0.753 0.247
4 Pm 0.588 0.918 0.753
5 Pm 0.412 0.082 0.247
6 Pm 0.247 0.247 0.753
7 Y 0.833 0.167 0.500
8 Y 0.500 0.500 0.500
9 Y 0.167 0.833 0.500
10 Dy 0.333 0.667 0.000
11 Dy 0.667 0.333 0.000
12 Pu 0.000 0.000 0.000

Properties
N(E_F) ... 22.7 states/eV/f.u.
Magnetic moment ... 0.5482 μB per atom



[6]
This record from Alexandria describes a relaxed structure of Pm3Dy6Y2Pu. The functional is PBE.

a b c (Å): 6.176 6.176 11.763
angles (deg): 95.03 95.03 120.02
Fractional coordinates of all 12 atoms:
1 Pm 0.167 0.833 0.500
2 Pm 0.500 0.500 0.500
3 Pm 0.833 0.167 0.500
4 Dy 0.753 0.753 0.246
5 Dy 0.411 0.082 0.246
6 Dy 0.082 0.411 0.246
7 Dy 0.918 0.589 0.754
8 Dy 0.247 0.247 0.754
9 Dy 0.589 0.918 0.754
10 Y 0.667 0.333 0.000
11 Y 0.333 0.667 0.000
12 Pu 0.000 0.000 0.000

Properties
N(E_F) ... 23.8 states/eV/f.u.
Magnetic moment ... 0.5450 μB per atom



E in eV per atom, matching the order above: -5.384 -6.837 -7.330 -6.336 -5.909 -5.714